[1]
First-principles (GGA-PBE) data for a geometry-optimized Mn2NbRh2 structure, as listed in Alexandria via LeMat-Bulk.

Summary:
Crystal system = tetragonal
Relative energy among the computed polymorphs = 85 meV/atom

```
data_Mn2NbRh2
_chemical_formula_sum 'Mn4 Nb2 Rh4'
_space_group_name_H-M_alt 'P 4/m b m'
_space_group_IT_number 127
_space_group_name_Hall '-P 4 2ab'
_cell_length_a 7.233
_cell_length_b 7.233
_cell_length_c 2.661
_cell_angle_alpha 90.00
_cell_angle_beta 90.00
_cell_angle_gamma 90.00
loop_
_atom_site_label
_atom_site_fract_x
_atom_site_fract_y
_atom_site_fract_z
Mn1 0.170 0.330 0.000
Nb1 0.000 0.000 0.500
Rh1 0.128 0.628 0.500
```

[2]
First-principles (GGA-PBE) data for a geometry-optimized AcGa3Bi3 structure, as listed in Alexandria via LeMat-Bulk.

Summary:
Crystal system = cubic

```
data_AcGa3Bi3
_chemical_formula_sum 'Ac2 Ga6 Bi6'
_space_group_name_H-M_alt 'P m -3 n'
_space_group_IT_number 223
_space_group_name_Hall '-P 4n 2 3'
_cell_length_a 7.896
_cell_length_b 7.896
_cell_length_c 7.896
_cell_angle_alpha 90.00
_cell_angle_beta 90.00
_cell_angle_gamma 90.00
loop_
_atom_site_label
_atom_site_fract_x
_atom_site_fract_y
_atom_site_fract_z
Ac1 0.000 0.000 0.000
Ga1 0.000 0.250 0.500
Bi1 0.000 0.500 0.250
```

[3]
First-principles (GGA-PBE) data for a geometry-optimized LaPm8Tm5 structure, as listed in Alexandria via LeMat-Bulk.

Summary:
Crystal system = tetragonal

```
data_LaPm8Tm5
_chemical_formula_sum 'La2 Pm16 Tm10'
_space_group_name_H-M_alt 'I -4'
_space_group_IT_number 82
_cell_length_a 9.560
_cell_length_b 9.560
_cell_length_c 10.421
_cell_angle_alpha 90.00
_cell_angle_beta 90.00
_cell_angle_gamma 90.00
loop_
_space_group_symop_operation_xyz
'x,y,z'
'y,-x,-z'
'-x,-y,z'
'-y,x,-z'
'x+1/2,y+1/2,z+1/2'
'y+1/2,-x+1/2,-z+1/2'
'-x+1/2,-y+1/2,z+1/2'
'-y+1/2,x+1/2,-z+1/2'
loop_
_atom_site_label
_atom_site_fract_x
_atom_site_fract_y
_atom_site_fract_z
La1 0.000 0.000 0.000
Pm1 0.070 0.825 0.646
Pm2 0.089 0.677 0.999
Tm1 0.000 0.500 0.750
Tm2 0.112 0.704 0.322
```

[4]
First-principles (GGA-PBE) data for a geometry-optimized LaZr2As4 structure, as listed in Alexandria via LeMat-Bulk.

Summary:
Crystal system = orthorhombic

```
data_LaZr2As4
_chemical_formula_sum 'La4 Zr8 As16'
_space_group_name_H-M_alt 'C m c m'
_space_group_IT_number 63
_space_group_name_Hall '-C 2c 2'
_cell_length_a 3.983
_cell_length_b 12.975
_cell_length_c 12.874
_cell_angle_alpha 90.00
_cell_angle_beta 90.00
_cell_angle_gamma 90.00
loop_
_atom_site_label
_atom_site_fract_x
_atom_site_fract_y
_atom_site_fract_z
La1 0.000 0.104 0.250
Zr1 0.000 0.365 0.055
As1 0.000 0.000 0.000
As2 0.000 0.260 0.628
As3 0.000 0.429 0.250
```

[5]
First-principles (GGA-PBE) data for a geometry-optimized HoTh2Cd structure, as listed in Alexandria via LeMat-Bulk.

Summary:
Crystal system = tetragonal
Relative energy among the computed polymorphs = 0 meV/atom

```
data_HoTh2Cd
_chemical_formula_sum 'Ho1 Th2 Cd1'
_space_group_name_H-M_alt 'P 4/m m m'
_space_group_IT_number 123
_space_group_name_Hall '-P 4 2'
_cell_length_a 4.829
_cell_length_b 4.829
_cell_length_c 5.038
_cell_angle_alpha 90.00
_cell_angle_beta 90.00
_cell_angle_gamma 90.00
loop_
_atom_site_label
_atom_site_fract_x
_atom_site_fract_y
_atom_site_fract_z
Ho1 0.000 0.000 0.000
Th1 0.000 0.500 0.500
Cd1 0.500 0.500 0.000
```

[6]
First-principles (GGA-PBE) data for a geometry-optimized Sn2BH2 structure, as listed in Alexandria via LeMat-Bulk.

Summary:
Crystal system = tetragonal
Relative energy among the computed polymorphs = 54 meV/atom

```
data_Sn2BH2
_chemical_formula_sum 'Sn4 B2 H4'
_space_group_name_H-M_alt 'P 4/m b m'
_space_group_IT_number 127
_space_group_name_Hall '-P 4 2ab'
_cell_length_a 6.224
_cell_length_b 6.224
_cell_length_c 3.644
_cell_angle_alpha 90.00
_cell_angle_beta 90.00
_cell_angle_gamma 90.00
loop_
_atom_site_label
_atom_site_fract_x
_atom_site_fract_y
_atom_site_fract_z
Sn1 0.247 0.253 0.000
B1 0.000 0.000 0.500
H1 0.044 0.544 0.500
```

no.,final energy (eV/atom)
1,-8.58
2,-3.38
3,-4.43
4,-6.81
5,-5.10
6,-3.53